A relaxed Rb3Tl4InBr8 crystal. Source: the Alexandria database, functional GGA-PBE.

Its uncorrected formation energy is -1.1673 eV/atom. The density of states at the Fermi level is 0.00 states/eV/f.u.

Cell lengths 9.676, 9.668, 9.681 Å; angles 120.08, 119.98, 90.00 degrees
Fractional coordinates of all 16 atoms:
Br: 0.751 0.247 0.502
Br: 0.248 0.243 0.495
Br: 0.751 0.247 0.996
Br: 0.755 0.753 0.004
Br: 0.245 0.247 0.996
Br: 0.752 0.757 0.505
Br: 0.249 0.753 0.498
Br: 0.249 0.753 0.004
Rb: 0.000 0.500 0.500
Rb: 0.500 0.500 0.000
Rb: 0.500 0.500 0.500
Tl: 0.500 0.000 0.500
Tl: 0.500 0.000 0.000
Tl: 0.000 0.000 0.000
Tl: 0.000 0.000 0.500
In: 0.000 0.500 0.000